# 1
# KErP4O12 | Alexandria | GGA-PBEsol | optimized geometry
data_KErP4O12
_chemical_formula_sum 'K2 Er2 P8 O24'
_space_group_name_H-M_alt 'P 1'
_space_group_IT_number 1
_cell_length_a 7.231
_cell_length_b 8.258
_cell_length_c 7.819
_cell_angle_alpha 90.00
_cell_angle_beta 91.49
_cell_angle_gamma 90.00
loop_
_space_group_symop_operation_xyz
'x,y,z'
loop_
_atom_site_label
_atom_site_fract_x
_atom_site_fract_y
_atom_site_fract_z
K1 0.234 0.000 0.281
K2 0.766 0.500 0.719
Er1 0.262 0.683 0.757
Er2 0.738 0.183 0.243
P1 0.063 0.057 0.908
P2 0.112 0.432 0.402
P3 0.403 0.268 0.905
P4 0.496 0.530 0.382
P5 0.504 0.030 0.618
P6 0.597 0.768 0.095
P7 0.888 0.932 0.598
P8 0.937 0.557 0.092
O1 0.020 0.276 0.354
O2 0.034 0.575 0.279
O3 0.077 0.584 0.958
O4 0.110 0.489 0.583
O5 0.179 0.908 0.928
O6 0.190 0.216 0.899
O7 0.321 0.417 0.340
O8 0.334 0.926 0.615
O9 0.411 0.433 0.827
O10 0.463 0.630 0.538
O11 0.483 0.238 0.081
O12 0.490 0.643 0.216
O13 0.510 0.143 0.784
O14 0.517 0.738 0.919
O15 0.537 0.130 0.462
O16 0.589 0.933 0.173
O17 0.666 0.426 0.385
O18 0.679 0.917 0.660
O19 0.810 0.716 0.101
O20 0.821 0.408 0.072
O21 0.890 0.989 0.417
O22 0.923 0.084 0.042
O23 0.966 0.075 0.721
O24 0.980 0.776 0.646
# ΔE to the lowest computed polymorph: 4.2 meV/atom
# SG: P2_1 (4)
# Formation energy from raw total energies: -44.66 eV/f.u.
# Calculated total energy: -7.60 eV per atom

# 2
# K2AgBr | Alexandria | GGA-PBEsol | optimized geometry
data_K2AgBr
_chemical_formula_sum 'K2 Ag1 Br1'
_space_group_name_H-M_alt 'P 1'
_space_group_IT_number 1
_cell_length_a 8.392
_cell_length_b 8.392
_cell_length_c 8.392
_cell_angle_alpha 32.09
_cell_angle_beta 32.09
_cell_angle_gamma 32.09
loop_
_space_group_symop_operation_xyz
'x,y,z'
loop_
_atom_site_label
_atom_site_fract_x
_atom_site_fract_y
_atom_site_fract_z
K1 0.245 0.245 0.245
K2 0.755 0.755 0.755
Ag1 0.000 0.000 0.000
Br1 0.500 0.500 0.500
# SG: R-3m (166)
# Formation energy from raw total energies: -2.77 eV/f.u.
# Calculated total energy: -2.55 eV per atom

# 3
# Hf2CrGaAs | Alexandria | GGA-PBEsol | optimized geometry
data_Hf2CrGaAs
_chemical_formula_sum 'Hf2 Cr1 Ga1 As1'
_space_group_name_H-M_alt 'P 1'
_space_group_IT_number 1
_cell_length_a 4.886
_cell_length_b 4.886
_cell_length_c 4.446
_cell_angle_alpha 90.00
_cell_angle_beta 90.00
_cell_angle_gamma 90.00
loop_
_space_group_symop_operation_xyz
'x,y,z'
loop_
_atom_site_label
_atom_site_fract_x
_atom_site_fract_y
_atom_site_fract_z
Hf1 0.000 0.500 0.000
Hf2 0.500 0.000 0.000
Cr1 0.000 0.000 0.500
Ga1 0.500 0.500 0.500
As1 0.000 0.000 0.000
# SG: P4/mmm (123)
# Formation energy from the elements: 38.0 kJ/mol of atoms
# Calculated total energy: -7.55 eV per atom

# 4
# Te2Se | Alexandria | GGA-PBEsol | optimized geometry
data_Te2Se
_chemical_formula_sum 'Te2 Se1'
_space_group_name_H-M_alt 'P 1'
_space_group_IT_number 1
_cell_length_a 4.152
_cell_length_b 4.152
_cell_length_c 5.578
_cell_angle_alpha 90.00
_cell_angle_beta 90.00
_cell_angle_gamma 120.00
loop_
_space_group_symop_operation_xyz
'x,y,z'
loop_
_atom_site_label
_atom_site_fract_x
_atom_site_fract_y
_atom_site_fract_z
Te1 0.333 0.667 0.332
Te2 0.667 0.333 0.668
Se1 0.000 0.000 0.000
# ΔE to the lowest computed polymorph: 0.0 meV/atom
# SG: P-3m1 (164)
# Formation energy from raw total energies: 0.02 eV/f.u.
# Calculated total energy: -3.63 eV per atom

# 5
# TaHgTe2 | Alexandria | GGA-PBEsol | optimized geometry
data_TaHgTe2
_chemical_formula_sum 'Ta1 Hg1 Te2'
_space_group_name_H-M_alt 'P 1'
_space_group_IT_number 1
_cell_length_a 5.060
_cell_length_b 5.060
_cell_length_c 3.543
_cell_angle_alpha 90.08
_cell_angle_beta 90.08
_cell_angle_gamma 101.54
loop_
_space_group_symop_operation_xyz
'x,y,z'
loop_
_atom_site_label
_atom_site_fract_x
_atom_site_fract_y
_atom_site_fract_z
Ta1 0.000 0.000 0.000
Hg1 0.500 0.500 0.000
Te1 0.000 0.500 0.500
Te2 0.500 0.000 0.500
# SG: C2/m (12)
# Formation energy from raw total energies: 1.80 eV/f.u.
# Calculated total energy: -4.59 eV per atom

# 6
# Na4W5O15 | Alexandria | GGA-PBEsol | optimized geometry
data_Na4W5O15
_chemical_formula_sum 'Na4 W5 O15'
_space_group_name_H-M_alt 'P 1'
_space_group_IT_number 1
_cell_length_a 8.643
_cell_length_b 8.643
_cell_length_c 6.696
_cell_angle_alpha 104.93
_cell_angle_beta 104.93
_cell_angle_gamma 36.88
loop_
_space_group_symop_operation_xyz
'x,y,z'
loop_
_atom_site_label
_atom_site_fract_x
_atom_site_fract_y
_atom_site_fract_z
Na1 0.099 0.099 0.395
Na2 0.302 0.302 0.199
Na3 0.698 0.698 0.801
Na4 0.901 0.901 0.605
W1 0.099 0.099 0.900
W2 0.301 0.301 0.702
W3 0.500 0.500 0.500
W4 0.699 0.699 0.298
W5 0.901 0.901 0.100
O1 0.000 0.000 0.000
O2 0.000 0.500 0.500
O3 0.097 0.601 0.899
O4 0.197 0.702 0.303
O5 0.200 0.200 0.800
O6 0.298 0.803 0.697
O7 0.399 0.399 0.597
O8 0.399 0.903 0.101
O9 0.500 0.000 0.500
O10 0.601 0.097 0.899
O11 0.601 0.601 0.403
O12 0.702 0.197 0.303
O13 0.800 0.800 0.200
O14 0.803 0.298 0.697
O15 0.903 0.399 0.101
# SG: C2/m (12)
# Formation energy from raw total energies: -51.88 eV/f.u.
# Calculated total energy: -8.55 eV per atom

- Which of these has the lowest calculated total energy?
  Na4W5O15